# 1
VASP calculation (GGA-PBE) on an optimized crystal structure of Tb2Sm2Er2Tm.

Unit cell a=8.7808 b=8.7808 c=8.7808 alpha=37.52 beta=37.52 gamma=37.52
Fractional coordinates of all 7 atoms:
Tb 0.2137 0.2137 0.2137
Tb 0.7863 0.7863 0.7863
Sm 0.3611 0.3611 0.3611
Sm 0.6389 0.6389 0.6389
Er 0.0716 0.0716 0.0716
Er 0.9284 0.9284 0.9284
Tm 0.5000 0.5000 0.5000

## Properties
As for the density: 8.27 g/cm³. The value obtained for the formation energy from the elements is 13 kJ per mole of atoms. Its uncorrected energy is -31.33 eV per cell.



# 2
VASP calculation (GGA-PBE) on an optimized crystal structure of Nd3GaSi2.

Unit cell a=11.9161 b=4.2184 c=12.0262 alpha=90.00 beta=90.00 gamma=90.00
Fractional coordinates of all 24 atoms:
Nd 0.0595 0.2500 0.1192
Nd 0.1230 0.7500 0.5605
Nd 0.1984 0.2500 0.7988
Nd 0.3016 0.7500 0.2988
Nd 0.3770 0.2500 0.0605
Nd 0.4405 0.7500 0.6192
Nd 0.5595 0.2500 0.3808
Nd 0.6230 0.7500 0.9395
Nd 0.6984 0.2500 0.7012
Nd 0.8016 0.7500 0.2012
Nd 0.8770 0.2500 0.4395
Nd 0.9405 0.7500 0.8808
Ga 0.1343 0.2500 0.3664
Ga 0.3657 0.7500 0.8664
Ga 0.6343 0.2500 0.1336
Ga 0.8657 0.7500 0.6336
Si 0.0257 0.7500 0.3157
Si 0.1892 0.7500 0.9903
Si 0.3108 0.2500 0.4903
Si 0.4743 0.2500 0.8157
Si 0.5257 0.7500 0.1843
Si 0.6892 0.7500 0.5097
Si 0.8108 0.2500 0.0097
Si 0.9743 0.2500 0.6843

## Properties
The value obtained for the uncorrected formation energy is -0.648 eV per atom. As for the density: 6.14 g/cm³. Its uncorrected energy is -128.25 eV per cell.



# 3
VASP calculation (GGA-PBE) on an optimized crystal structure of ZnCrPt2.

Unit cell a=8.9821 b=8.9821 c=8.9821 alpha=17.56 beta=17.56 gamma=17.56
Fractional coordinates of all 4 atoms:
Zn 0.0000 0.0000 0.0000
Cr 0.7473 0.7473 0.7473
Pt 0.2504 0.2504 0.2504
Pt 0.4908 0.4908 0.4908

## Properties
As for the density: 14.63 g/cm³. The value obtained for the formation energy from the elements is -10 kJ per mole of atoms. Its uncorrected energy is -23.40 eV per cell.



# 4
VASP calculation (GGA-PBE) on an optimized crystal structure of Mg2ZnTe.

Unit cell a=3.3743 b=3.3743 c=8.2273 alpha=90.00 beta=90.00 gamma=90.00
Fractional coordinates of all 4 atoms:
Mg 0.0000 0.0000 0.0000
Mg 0.5000 0.5000 0.2687
Zn 0.5000 0.5000 0.7942
Te 0.0000 0.0000 0.5166

## Properties
The energy above the lowest structure with this stoichiometry is 256 meV per atom. The value obtained for the uncorrected formation energy is 0.011 eV per atom. As for the density: 4.28 g/cm³. Its uncorrected energy is -7.56 eV per cell.



# 5
VASP calculation (GGA-PBE) on an optimized crystal structure of Nb2VSbH.

Unit cell a=4.2095 b=4.2095 c=4.0849 alpha=90.00 beta=90.00 gamma=90.00
Fractional coordinates of all 5 atoms:
Nb 0.0000 0.5000 0.0000
Nb 0.5000 0.0000 0.0000
V 0.0000 0.0000 0.5000
Sb 0.5000 0.5000 0.5000
H 0.0000 0.0000 0.0000

## Properties
As for the density: 8.25 g/cm³. Its uncorrected energy is -37.38 eV per cell.



# 6
VASP calculation (GGA-PBE) on an optimized crystal structure of Ca2PmPuS4.

Unit cell a=6.9387 b=4.0096 c=7.0082 alpha=90.00 beta=109.38 gamma=90.00
Fractional coordinates of all 8 atoms:
Ca 0.0000 0.0000 0.0000
Ca 0.5000 0.5000 0.0000
Pm 0.0000 0.5000 0.5000
Pu 0.5000 0.0000 0.5000
S 0.2518 0.0000 0.7521
S 0.2525 0.5000 0.2508
S 0.7482 0.0000 0.2479
S 0.7475 0.5000 0.7492

## Properties
The value obtained for the uncorrected formation energy is -1.979 eV per atom. As for the density: 5.39 g/cm³. Its uncorrected energy is -55.43 eV per cell.